(1)
MgPdS2N | GGA-PBE | optimized geometry

E_tot: -4.2803 eV per atom
raw formation energy: 1.97 eV per formula unit
magnetic moment: 0.56 μB/f.u.
energy relative to the lowest polymorph listed for this composition: 0.0000 eV per atom

a = 4.920 Å, b = 4.920 Å, c = 3.713 Å
α = 90.00°, β = 90.00°, γ = 90.00°
Space group P4/mmm (No. 123)
Asymmetric unit:
Mg: 0.000 0.000 0.000 (multiplicity 1)
Pd: 0.500 0.500 0.500 (multiplicity 1)
S: 0.000 0.500 0.500 (multiplicity 2)
N: 0.500 0.500 0.000 (multiplicity 1)

---

(2)
MgSc2PdN | GGA-PBE | optimized geometry

E_tot: -6.5153 eV per atom
raw formation energy: -4.80 eV per formula unit
magnetic moment: 0.00 μB/f.u.

a = 4.395 Å, b = 4.395 Å, c = 4.195 Å
α = 90.00°, β = 90.00°, γ = 90.00°
Space group P4/mmm (No. 123)
Asymmetric unit:
Mg: 0.000 0.000 0.000 (multiplicity 1)
Sc: 0.000 0.500 0.500 (multiplicity 2)
Pd: 0.500 0.500 0.000 (multiplicity 1)
N: 0.000 0.000 0.500 (multiplicity 1)

---

(3)
MgPdSeN2 | GGA-PBE | optimized geometry

E_tot: -4.0422 eV per atom
raw formation energy: 6.71 eV per formula unit
magnetic moment: 3.39 μB/f.u.
energy relative to the lowest polymorph listed for this composition: 0.4184 eV per atom

a = 3.945 Å, b = 3.945 Å, c = 5.492 Å
α = 90.00°, β = 90.00°, γ = 90.00°
Space group P4/mmm (No. 123)
Asymmetric unit:
Mg: 0.000 0.000 0.000 (multiplicity 1)
Pd: 0.500 0.500 0.500 (multiplicity 1)
Se: 0.000 0.000 0.500 (multiplicity 1)
N: 0.000 0.500 0.000 (multiplicity 2)

---

(4)
MgPdSeN2 | GGA-PBE | optimized geometry

E_tot: -4.4607 eV per atom
raw formation energy: 4.62 eV per formula unit
magnetic moment: 3.38 μB/f.u.
energy relative to the lowest polymorph listed for this composition: 0.0000 eV per atom

a = 3.956 Å, b = 3.956 Å, c = 5.518 Å
α = 90.00°, β = 90.00°, γ = 90.00°
Space group P4/mmm (No. 123)
Asymmetric unit:
Mg: 0.000 0.000 0.000 (multiplicity 1)
Pd: 0.500 0.500 0.500 (multiplicity 1)
Se: 0.500 0.500 0.000 (multiplicity 1)
N: 0.000 0.500 0.500 (multiplicity 2)

---

(5)
MgPdSe2N | GGA-PBE | optimized geometry

E_tot: -3.6271 eV per atom
raw formation energy: 3.95 eV per formula unit
magnetic moment: 2.10 μB/f.u.
energy relative to the lowest polymorph listed for this composition: 0.4376 eV per atom

a = 5.081 Å, b = 5.081 Å, c = 3.869 Å
α = 90.00°, β = 90.00°, γ = 90.00°
Space group P4/mmm (No. 123)
Asymmetric unit:
Mg: 0.000 0.000 0.000 (multiplicity 1)
Pd: 0.500 0.500 0.500 (multiplicity 1)
Se: 0.000 0.500 0.000 (multiplicity 2)
N: 0.000 0.000 0.500 (multiplicity 1)

---

(6)
MgPdSe2N | GGA-PBE | optimized geometry

E_tot: -4.0646 eV per atom
raw formation energy: 1.76 eV per formula unit
magnetic moment: 0.58 μB/f.u.
energy relative to the lowest polymorph listed for this composition: 0.0000 eV per atom

a = 5.211 Å, b = 5.211 Å, c = 3.709 Å
α = 90.00°, β = 90.00°, γ = 90.00°
Space group P4/mmm (No. 123)
Asymmetric unit:
Mg: 0.000 0.000 0.000 (multiplicity 1)
Pd: 0.500 0.500 0.500 (multiplicity 1)
Se: 0.000 0.500 0.500 (multiplicity 2)
N: 0.500 0.500 0.000 (multiplicity 1)